5
Lattice="5.075 0.000 0.000 0.000 5.075 0.000 0.000 0.000 5.075" Properties=species:S:1:pos:R:3 comment="BiPd3O PBE optimized geometry" m_tot_mub_per_atom=0.0000 space_group="No. 221" e_form_raw_ev_per_atom=1.244 e_tot_ev_per_cell=-18.20 e_above_lowest_polymorph_ev_per_atom=1.3437 pbc="T T T"
O 2.538 2.538 2.538
Bi 0.000 0.000 0.000
Pd 0.000 2.538 0.000
Pd 0.000 0.000 2.538
Pd 2.538 0.000 0.000